[1]
## CsK2Tl3F6 (PBE)

Data for an optimized crystal structure of CsK2Tl3F6.

The structure in CIF format:
```
data_CsK2Tl3F6
_chemical_formula_sum 'Cs2 K4 Tl6 F12'
_symmetry_space_group_name_H-M 'C 1 2/m 1'
_symmetry_Int_Tables_number 12
_symmetry_space_group_name_Hall '-C 2y'
_cell_length_a 17.730
_cell_length_b 3.972
_cell_length_c 8.094
_cell_angle_alpha 90.00
_cell_angle_beta 102.95
_cell_angle_gamma 90.00
loop_
_atom_site_label
_atom_site_fract_x
_atom_site_fract_y
_atom_site_fract_z
Cs1 0.000 0.000 0.000
K1 0.169 0.500 0.345
Tl1 0.000 0.000 0.500
Tl2 0.174 0.500 0.824
F1 0.016 0.500 0.275
F2 0.175 0.000 0.592
F3 0.181 0.000 0.122
```

## Properties
**Uncorrected formation energy**: -2.21 eV/atom

***

[2]
## BaLiRhO3 (PBE)

Data for an optimized crystal structure of BaLiRhO3.

The structure in CIF format:
```
data_BaLiRhO3
_chemical_formula_sum 'Ba4 Li4 Rh4 O12'
_symmetry_space_group_name_H-M 'C m c m'
_symmetry_Int_Tables_number 63
_symmetry_space_group_name_Hall '-C 2c 2'
_cell_length_a 5.609
_cell_length_b 10.254
_cell_length_c 5.733
_cell_angle_alpha 90.00
_cell_angle_beta 90.00
_cell_angle_gamma 90.00
loop_
_atom_site_label
_atom_site_fract_x
_atom_site_fract_y
_atom_site_fract_z
Ba1 0.000 0.210 0.250
Li1 0.000 0.080 0.750
Rh1 0.000 0.473 0.750
O1 0.000 0.269 0.750
O2 0.242 0.000 0.000
```

## Properties
**Uncorrected formation energy**: -1.49 eV/atom

***

[3]
## Sr2PbW (PBE)

Data for an optimized crystal structure of Sr2PbW.

The structure in CIF format:
```
data_Sr2PbW
_chemical_formula_sum 'Sr4 Pb2 W2'
_symmetry_space_group_name_H-M 'C m m m'
_symmetry_Int_Tables_number 65
_symmetry_space_group_name_Hall '-C 2 2'
_cell_length_a 6.916
_cell_length_b 10.177
_cell_length_c 3.222
_cell_angle_alpha 90.00
_cell_angle_beta 90.00
_cell_angle_gamma 90.00
loop_
_atom_site_label
_atom_site_fract_x
_atom_site_fract_y
_atom_site_fract_z
Sr1 0.250 0.250 0.000
Pb1 0.000 0.000 0.500
W1 0.000 0.500 0.500
```

## Properties
**Energy relative to the elements**: 0.799 eV per atom

***

[4]
## NaScC2 (PBE)

Data for an optimized crystal structure of NaScC2.

The structure in CIF format:
```
data_NaScC2
_chemical_formula_sum 'Na4 Sc4 C8'
_symmetry_space_group_name_H-M 'I -4 2 d'
_symmetry_Int_Tables_number 122
_symmetry_space_group_name_Hall 'I -4 2bw'
_cell_length_a 4.275
_cell_length_b 4.275
_cell_length_c 14.660
_cell_angle_alpha 90.00
_cell_angle_beta 90.00
_cell_angle_gamma 90.00
loop_
_atom_site_label
_atom_site_fract_x
_atom_site_fract_y
_atom_site_fract_z
Na1 0.000 0.000 0.000
Sc1 0.000 0.000 0.500
C1 0.117 0.250 0.625
```

## Properties
**Energy relative to the elements**: 1.346 eV per atom
**Energy relative to the lowest polymorph listed for this composition**: 0.64 eV per formula unit

***

[5]
## CdHgPS2 (PBE)

Data for an optimized crystal structure of CdHgPS2.

The structure in CIF format:
```
data_CdHgPS2
_chemical_formula_sum 'Cd1 Hg1 P1 S2'
_symmetry_space_group_name_H-M 'P 4/m m m'
_symmetry_Int_Tables_number 123
_symmetry_space_group_name_Hall '-P 4 2'
_cell_length_a 5.070
_cell_length_b 5.070
_cell_length_c 4.982
_cell_angle_alpha 90.00
_cell_angle_beta 90.00
_cell_angle_gamma 90.00
loop_
_atom_site_label
_atom_site_fract_x
_atom_site_fract_y
_atom_site_fract_z
Cd1 0.000 0.000 0.000
Hg1 0.500 0.500 0.500
P1 0.500 0.500 0.000
S1 0.000 0.500 0.500
```

## Properties
**Uncorrected formation energy**: 0.92 eV/atom
**Energy relative to the lowest polymorph listed for this composition**: 0.10 eV per formula unit

***

[6]
## La2DyHoHg2 (PBE)

Data for an optimized crystal structure of La2DyHoHg2.

The structure in CIF format:
```
data_La2DyHoHg2
_chemical_formula_sum 'La4 Dy2 Ho2 Hg4'
_symmetry_space_group_name_H-M 'P m c 21'
_symmetry_Int_Tables_number 26
_symmetry_space_group_name_Hall 'P 2c -2'
_cell_length_a 5.182
_cell_length_b 9.648
_cell_length_c 7.164
_cell_angle_alpha 90.00
_cell_angle_beta 90.00
_cell_angle_gamma 90.00
loop_
_atom_site_label
_atom_site_fract_x
_atom_site_fract_y
_atom_site_fract_z
La1 0.000 0.055 0.000
La2 0.500 0.172 0.309
Dy1 0.500 0.447 0.970
Ho1 0.000 0.330 0.656
Hg1 0.000 0.365 0.224
Hg2 0.500 0.165 0.752
```

## Properties
**Energy relative to the elements**: -0.339 eV per atom